This record from Alexandria via LeMat-Bulk describes an optimized crystal structure of Er3P6Rh20. The functional is PBE.

For the total DFT energy (no corrections), the calculation gives -7.361 eV/atom. The formation energy comes out at -0.700 eV per atom. The magnetic moment is 0.000 μB/atom.

The space group is Fm-3m (No. 225) and the conventional cell measures 11.989, 11.989 and 11.989 Å, with angles of 90.00, 90.00 and 90.00 degrees. The inequivalent atoms are Er at (0.000, 0.000, 0.000), Er at (0.250, 0.250, 0.250), P at (0.000, 0.000, 0.269), Rh at (0.000, 0.171, 0.171) and Rh at (0.117, 0.117, 0.383).